A) # Pa3Bi3Sb2 PBE optimized geometry
data_Pa3Bi3Sb2
_chemical_formula_sum 'Pa6 Bi6 Sb4'
_symmetry_space_group_name_H-M 'I m m m'
_symmetry_Int_Tables_number 71
_symmetry_space_group_name_Hall '-I 2 2'
_cell_length_a 4.292
_cell_length_b 4.601
_cell_length_c 23.168
_cell_angle_alpha 90.00
_cell_angle_beta 90.00
_cell_angle_gamma 90.00
loop_
_atom_site_label
_atom_site_type_symbol
_atom_site_fract_x
_atom_site_fract_y
_atom_site_fract_z
_atom_site_occupancy
Pa1 Pa 0.000 0.000 0.000 1
Pa2 Pa 0.000 0.500 0.148 1
Bi1 Bi 0.000 0.000 0.500 1
Bi2 Bi 0.000 0.500 0.386 1
Sb1 Sb 0.000 0.000 0.249 1
# total magnetization: 3.46 μB/cell


B) # Pa3Bi3Sb2 PBE optimized geometry
data_Pa3Bi3Sb2
_chemical_formula_sum 'Pa6 Bi6 Sb4'
_symmetry_space_group_name_H-M 'P 63/m c m'
_symmetry_Int_Tables_number 193
_symmetry_space_group_name_Hall '-P 6c 2'
_cell_length_a 9.2335
_cell_length_b 9.2335
_cell_length_c 6.1761
_cell_angle_alpha 90.00
_cell_angle_beta 90.00
_cell_angle_gamma 120.00
loop_
_atom_site_label
_atom_site_type_symbol
_atom_site_fract_x
_atom_site_fract_y
_atom_site_fract_z
_atom_site_occupancy
Pa1 Pa 0.0000 0.3955 0.2500 1
Bi1 Bi 0.0000 0.2416 0.7500 1
Sb1 Sb 0.3333 0.6667 0.0000 1
# total magnetization: 4.04 μB/cell


In terms of stability, B) leads; the second structure lies 0.110 eV/atom higher.


A) # PaBiSe3 PBE optimized geometry
data_PaBiSe3
_chemical_formula_sum 'Pa2 Bi2 Se6'
_symmetry_space_group_name_H-M 'P 1 21/m 1'
_symmetry_Int_Tables_number 11
_cell_length_a 7.911
_cell_length_b 4.082
_cell_length_c 9.293
_cell_angle_alpha 90.00
_cell_angle_beta 108.46
_cell_angle_gamma 90.00
loop_
_symmetry_equiv_pos_as_xyz
'x,y,z'
'-x,-y,-z'
'-x,y+1/2,-z'
'x,-y+1/2,z'
loop_
_atom_site_label
_atom_site_type_symbol
_atom_site_fract_x
_atom_site_fract_y
_atom_site_fract_z
_atom_site_occupancy
Pa1 Pa 0.217 0.250 0.401 1
Bi1 Bi 0.353 0.750 0.933 1
Se1 Se 0.060 0.250 0.650 1
Se2 Se 0.213 0.750 0.177 1
Se3 Se 0.409 0.750 0.610 1
# total magnetization: 0.04 μB/cell


B) # PaBiSe3 PBE optimized geometry
data_PaBiSe3
_chemical_formula_sum 'Pa2 Bi2 Se6'
_symmetry_space_group_name_H-M 'P -1'
_symmetry_Int_Tables_number 2
_cell_length_a 7.354
_cell_length_b 7.381
_cell_length_c 7.713
_cell_angle_alpha 65.40
_cell_angle_beta 85.18
_cell_angle_gamma 60.85
loop_
_symmetry_equiv_pos_as_xyz
'x,y,z'
'-x,-y,-z'
loop_
_atom_site_label
_atom_site_type_symbol
_atom_site_fract_x
_atom_site_fract_y
_atom_site_fract_z
_atom_site_occupancy
Pa1 Pa 0.165 0.164 0.010 1
Bi1 Bi 0.406 0.843 0.526 1
Se1 Se 0.073 0.020 0.761 1
Se2 Se 0.184 0.406 0.197 1
Se3 Se 0.459 0.270 0.789 1
# total magnetization: 0.00 μB/cell


In terms of stability, A) leads; the second structure lies 0.102 eV/atom higher.


A) # PaBiSe4 PBE optimized geometry
data_PaBiSe4
_chemical_formula_sum 'Pa1 Bi1 Se4'
_symmetry_space_group_name_H-M 'P 1 2/m 1'
_symmetry_Int_Tables_number 10
_cell_length_a 6.897
_cell_length_b 4.215
_cell_length_c 7.200
_cell_angle_alpha 90.00
_cell_angle_beta 94.10
_cell_angle_gamma 90.00
loop_
_symmetry_equiv_pos_as_xyz
'x,y,z'
'-x,-y,-z'
'-x,y,-z'
'x,-y,z'
loop_
_atom_site_label
_atom_site_type_symbol
_atom_site_fract_x
_atom_site_fract_y
_atom_site_fract_z
_atom_site_occupancy
Pa1 Pa 0.000 0.000 0.000 1
Bi1 Bi 0.000 0.500 0.500 1
Se1 Se 0.225 0.500 0.165 1
Se2 Se 0.230 0.000 0.702 1
# total magnetization: 0.00 μB/cell


B) # PaBiSe4 PBE optimized geometry
data_PaBiSe4
_chemical_formula_sum 'Pa2 Bi2 Se8'
_symmetry_space_group_name_H-M 'P 1 21/c 1'
_symmetry_Int_Tables_number 14
_cell_length_a 7.095
_cell_length_b 7.027
_cell_length_c 6.988
_cell_angle_alpha 90.00
_cell_angle_beta 90.04
_cell_angle_gamma 90.00
loop_
_symmetry_equiv_pos_as_xyz
'x,y,z'
'-x,-y,-z'
'-x,y+1/2,-z+1/2'
'x,-y+1/2,z+1/2'
loop_
_atom_site_label
_atom_site_type_symbol
_atom_site_fract_x
_atom_site_fract_y
_atom_site_fract_z
_atom_site_occupancy
Pa1 Pa 0.000 0.000 0.000 1
Bi1 Bi 0.500 0.000 0.500 1
Se1 Se 0.146 0.160 0.341 1
Se2 Se 0.335 0.642 0.360 1
# total magnetization: 0.00 μB/cell


In terms of stability, A) leads; the second structure lies 0.158 eV/atom higher.


A) # Pa2BiSe PBE optimized geometry
data_Pa2BiSe
_chemical_formula_sum 'Pa2 Bi1 Se1'
_symmetry_space_group_name_H-M 'P 4/m m m'
_symmetry_Int_Tables_number 123
_symmetry_space_group_name_Hall '-P 4 2'
_cell_length_a 3.665
_cell_length_b 3.665
_cell_length_c 7.476
_cell_angle_alpha 90.00
_cell_angle_beta 90.00
_cell_angle_gamma 90.00
loop_
_atom_site_label
_atom_site_type_symbol
_atom_site_fract_x
_atom_site_fract_y
_atom_site_fract_z
_atom_site_occupancy
Pa1 Pa 0.000 0.000 0.236 1
Bi1 Bi 0.500 0.500 0.500 1
Se1 Se 0.500 0.500 0.000 1
# total magnetization: 2.32 μB/cell


B) # Pa2BiSe PBE optimized geometry
data_Pa2BiSe
_chemical_formula_sum 'Pa6 Bi3 Se3'
_symmetry_space_group_name_H-M 'R -3 m'
_symmetry_Int_Tables_number 166
_symmetry_space_group_name_Hall '-R 3 2"'
_cell_length_a 4.2696
_cell_length_b 4.2696
_cell_length_c 20.7980
_cell_angle_alpha 90.00
_cell_angle_beta 90.00
_cell_angle_gamma 120.00
loop_
_atom_site_label
_atom_site_type_symbol
_atom_site_fract_x
_atom_site_fract_y
_atom_site_fract_z
_atom_site_occupancy
Pa1 Pa 0.0000 0.0000 0.2360 1
Bi1 Bi 0.0000 0.0000 0.0000 1
Se1 Se 0.0000 0.0000 0.5000 1
# total magnetization: 0.01 μB/cell


In terms of stability, B) leads; the second structure lies 0.154 eV/atom higher.


A) # Pa2BiSe PBE optimized geometry
data_Pa2BiSe
_chemical_formula_sum 'Pa8 Bi4 Se4'
_symmetry_space_group_name_H-M 'F m -3 m'
_symmetry_Int_Tables_number 225
_symmetry_space_group_name_Hall '-F 4 2 3'
_cell_length_a 7.411
_cell_length_b 7.411
_cell_length_c 7.411
_cell_angle_alpha 90.00
_cell_angle_beta 90.00
_cell_angle_gamma 90.00
loop_
_atom_site_label
_atom_site_type_symbol
_atom_site_fract_x
_atom_site_fract_y
_atom_site_fract_z
_atom_site_occupancy
Pa1 Pa 0.250 0.250 0.250 1
Bi1 Bi 0.000 0.000 0.000 1
Se1 Se 0.000 0.000 0.500 1
# total magnetization: 11.08 μB/cell


B) # Pa2BiSe PBE optimized geometry
data_Pa2BiSe
_chemical_formula_sum 'Pa6 Bi3 Se3'
_symmetry_space_group_name_H-M 'R 3 m'
_symmetry_Int_Tables_number 160
_symmetry_space_group_name_Hall 'R 3 -2"'
_cell_length_a 4.1186
_cell_length_b 4.1186
_cell_length_c 22.6673
_cell_angle_alpha 90.00
_cell_angle_beta 90.00
_cell_angle_gamma 120.00
loop_
_atom_site_label
_atom_site_type_symbol
_atom_site_fract_x
_atom_site_fract_y
_atom_site_fract_z
_atom_site_occupancy
Pa1 Pa 0.0000 0.0000 0.0000 1
Pa2 Pa 0.0000 0.0000 0.1914 1
Bi1 Bi 0.0000 0.0000 0.4273 1
Se1 Se 0.0000 0.0000 0.5964 1
# total magnetization: 6.11 μB/cell


In terms of stability, B) leads; the second structure lies 0.115 eV/atom higher.